No. 1
VASP calculation (GGA-PBE) on ErZnCu2Ni after structural relaxation.

Cell lengths 6.2032, 6.2032, 6.2032 Å; angles 144.93, 144.47, 50.78 degrees
Closest atoms and distances in Å follow each position.
Fractional coordinates of all 5 atoms:
Er 0.0000 0.0000 0.0000  4 Ni 2.87, 4 Cu 2.96
Zn 0.2606 0.7606 0.5000  2 Ni 2.47, 6 Cu 2.49-2.66
Cu 0.6157 0.6157 0.0000  1 Ni 2.37, 2 Zn 2.49, 2 Cu 2.50
Cu 0.7635 0.2635 0.5000  2 Ni 2.46, 2 Cu 2.50, 4 Zn 2.66
Ni 0.4041 0.4041 0.0000  3 Cu 2.37-2.46, 2 Zn 2.47

Properties
- formation enthalpy at 0 K (eV per atom) = -0.26
- VASP energy (eV for the cell shown) = -21.091

No. 2
VASP calculation (GGA-PBE) on Er2Zn12Cu3Ni after structural relaxation.

Cell lengths 11.7082, 11.7082, 11.7082 Å; angles 27.78, 27.78, 27.78 degrees
Closest atoms and distances in Å follow each position.
Fractional coordinates of all 18 atoms:
Er 0.1413 0.1413 0.1413  12 Zn 2.97-3.31
Er 0.8587 0.8587 0.8587  12 Zn 2.97-3.31
Zn 0.1005 0.1005 0.6371  2 Cu 2.48, 4 Zn 2.60
Zn 0.1005 0.6371 0.1005  2 Cu 2.48, 4 Zn 2.60
Zn 0.1106 0.6139 0.6139  1 Ni 2.44, 2 Zn 2.60
Zn 0.3629 0.8995 0.8995  2 Cu 2.48, 4 Zn 2.60
Zn 0.3861 0.3861 0.8894  1 Ni 2.44, 2 Zn 2.60
Zn 0.3861 0.8894 0.3861  1 Ni 2.44, 2 Zn 2.60
Zn 0.6139 0.1106 0.6139  1 Ni 2.44, 2 Zn 2.60
Zn 0.6139 0.6139 0.1106  1 Ni 2.44, 2 Zn 2.60
Zn 0.6371 0.1005 0.1005  2 Cu 2.48, 4 Zn 2.60
Zn 0.8894 0.3861 0.3861  1 Ni 2.44, 2 Zn 2.60
Zn 0.8995 0.3629 0.8995  2 Cu 2.48, 4 Zn 2.60
Zn 0.8995 0.8995 0.3629  2 Cu 2.48, 4 Zn 2.60
Cu 0.0000 0.5000 0.5000  4 Zn 2.48
Cu 0.5000 0.0000 0.5000  4 Zn 2.48
Cu 0.5000 0.5000 0.0000  4 Zn 2.48
Ni 0.5000 0.5000 0.5000  6 Zn 2.44

Properties
- formation enthalpy at 0 K (eV per atom) = -0.03
- VASP energy (eV for the cell shown) = -43.020

No. 3
VASP calculation (GGA-PBE) on ErNpCu4 after structural relaxation.

Cell lengths 5.2226, 5.2226, 5.2226 Å; angles 60.00, 60.00, 60.00 degrees
Closest atoms and distances in Å follow each position.
Fractional coordinates of all 6 atoms:
Er 0.0000 0.0000 0.0000  12 Cu 3.06, 4 Np 3.20
Np 0.7500 0.7500 0.7500  12 Cu 3.06, 4 Er 3.20
Cu 0.3746 0.3746 0.3746  6 Cu 2.60-2.62
Cu 0.3746 0.3746 0.8761  6 Cu 2.60-2.62
Cu 0.3746 0.8761 0.3746  6 Cu 2.60-2.62
Cu 0.8761 0.3746 0.3746  6 Cu 2.60-2.62

Properties
- formation enthalpy at 0 K (eV per atom) = 0.07
- VASP energy (eV for the cell shown) = -33.474

No. 4
VASP calculation (GGA-PBE) on ErNpCuO6 after structural relaxation.

Cell lengths 5.6337, 5.6337, 8.6671 Å; angles 90.00, 90.00, 120.00 degrees
Closest atoms and distances in Å follow each position.
Fractional coordinates of all 18 atoms:
Er 0.3333 0.6667 0.2500  6 O 2.25
Er 0.6667 0.3333 0.7500  6 O 2.25
Np 0.3333 0.6667 0.7500  6 O 2.03
Np 0.6667 0.3333 0.2500  6 O 2.03
Cu 0.0000 0.0000 0.0000  6 O 2.22
Cu 0.0000 0.0000 0.5000  6 O 2.22
O 0.0294 0.3552 0.6286  1 Np 2.03, 1 Cu 2.22, 1 Er 2.25
O 0.0294 0.6742 0.8714  1 Np 2.03, 1 Cu 2.22, 1 Er 2.25
O 0.3258 0.3552 0.8714  1 Np 2.03, 1 Cu 2.22, 1 Er 2.25
O 0.3258 0.9706 0.6286  1 Np 2.03, 1 Cu 2.22, 1 Er 2.25
O 0.3552 0.0294 0.1286  1 Np 2.03, 1 Cu 2.22, 1 Er 2.25
O 0.3552 0.3258 0.3714  1 Np 2.03, 1 Cu 2.22, 1 Er 2.25
O 0.6448 0.6742 0.6286  1 Np 2.03, 1 Cu 2.22, 1 Er 2.25
O 0.6448 0.9706 0.8714  1 Np 2.03, 1 Cu 2.22, 1 Er 2.25
O 0.6742 0.0294 0.3714  1 Np 2.03, 1 Cu 2.22, 1 Er 2.25
O 0.6742 0.6448 0.1286  1 Np 2.03, 1 Cu 2.22, 1 Er 2.25
O 0.9706 0.3258 0.1286  1 Np 2.03, 1 Cu 2.22, 1 Er 2.25
O 0.9706 0.6448 0.3714  1 Np 2.03, 1 Cu 2.22, 1 Er 2.25

Properties
- E_form (uncorrected) (eV per atom) = -2.20
- VASP energy (eV for the cell shown) = -142.222

No. 5
VASP calculation (GGA-PBE) on Er2NpCuS5 after structural relaxation.

Cell lengths 9.0561, 9.0561, 11.0392 Å; angles 90.00, 90.00, 155.99 degrees
Closest atoms and distances in Å follow each position.
Fractional coordinates of all 18 atoms:
Er 0.0926 0.9074 0.5000  7 S 2.77-2.87
Er 0.1143 0.8857 0.1238  7 S 2.72-2.93
Er 0.8857 0.1143 0.6238  7 S 2.72-2.93
Er 0.9074 0.0926 0.0000  7 S 2.77-2.87
Np 0.1995 0.8005 0.8238  6 S 2.73-2.86
Np 0.8005 0.1995 0.3238  6 S 2.73-2.86
Cu 0.4369 0.5631 0.2677  4 S 2.25-2.32
Cu 0.5631 0.4369 0.7677  4 S 2.25-2.32
S 0.0495 0.9505 0.8792  2 Cu 2.26
S 0.2990 0.7010 0.5039  2 Np 2.74, 2 Er 2.77
S 0.3283 0.6717 0.1498  1 Cu 2.32
S 0.3607 0.6393 0.8209  4 Er 2.85-2.91, 1 Np 2.86
S 0.4948 0.5052 0.5956  1 Cu 2.25
S 0.5052 0.4948 0.0956  1 Cu 2.25
S 0.6393 0.3607 0.3209  4 Er 2.85-2.91, 1 Np 2.86
S 0.6717 0.3283 0.6498  1 Cu 2.32
S 0.7010 0.2990 0.0039  2 Np 2.74, 2 Er 2.77
S 0.9505 0.0495 0.3792  2 Cu 2.26

Properties
- E_form (uncorrected) (eV per atom) = -1.47
- VASP energy (eV for the cell shown) = -120.142

No. 6
VASP calculation (GGA-PBE) on Er2NpCuSe5 after structural relaxation.

Cell lengths 9.5292, 9.5292, 11.5960 Å; angles 90.00, 90.00, 156.21 degrees
Closest atoms and distances in Å follow each position.
Fractional coordinates of all 18 atoms:
Er 0.0929 0.9071 0.5000  7 Se 2.91-3.00
Er 0.1140 0.8860 0.1238  7 Se 2.85-3.08
Er 0.8860 0.1140 0.6238  7 Se 2.85-3.08
Er 0.9071 0.0929 0.0000  7 Se 2.91-3.00
Np 0.1965 0.8035 0.8252  6 Se 2.86-3.03, 2 Cu 3.17
Np 0.8035 0.1965 0.3252  6 Se 2.86-3.03, 2 Cu 3.17
Cu 0.4319 0.5681 0.2686  4 Se 2.39-2.43
Cu 0.5681 0.4319 0.7686  4 Se 2.39-2.43
Se 0.0473 0.9527 0.8805  2 Cu 2.39
Se 0.2997 0.7003 0.5059  2 Np 2.87, 2 Er 2.88
Se 0.3261 0.6739 0.1463  1 Cu 2.43
Se 0.3592 0.6408 0.8210  4 Er 2.99-3.06, 1 Np 3.03
Se 0.4957 0.5043 0.5985  1 Cu 2.39
Se 0.5043 0.4957 0.0985  1 Cu 2.39
Se 0.6408 0.3592 0.3210  4 Er 2.99-3.06, 1 Np 3.03
Se 0.6739 0.3261 0.6463  1 Cu 2.43
Se 0.7003 0.2997 0.0059  2 Np 2.87, 2 Er 2.88
Se 0.9527 0.0473 0.3805  2 Cu 2.39

Properties
- E_form (uncorrected) (eV per atom) = -1.28
- VASP energy (eV for the cell shown) = -110.196